A plane-wave DFT calculation with PBE with a Hubbard U was carried out for crystalline NiH8C2O10 at its relaxed geometry.

Lattice parameters (Å, degrees): 6.346 6.158 11.489 67.14 90.00 90.00
Last column: magnetic moment on the atom in μB.
Sites, in units of the cell vectors:
O 0.043 0.324 0.234  -0.13
O 0.684 0.924 0.392  -0.05
O 0.316 0.076 0.608  -0.05
O 0.184 0.076 0.108  -0.05
O 0.546 0.723 0.061  -0.04
O 0.855 0.291 0.962  -0.05
O 0.457 0.324 0.734  -0.13
O 0.184 0.155 0.850  -0.11
O 0.355 0.709 0.538  -0.05
O 0.454 0.277 0.939  -0.04
O 0.046 0.277 0.439  -0.04
O 0.816 0.845 0.150  -0.11
O 0.145 0.709 0.038  -0.05
O 0.957 0.676 0.766  -0.13
O 0.645 0.291 0.462  -0.05
O 0.816 0.924 0.892  -0.05
O 0.954 0.723 0.561  -0.04
O 0.684 0.845 0.650  -0.11
O 0.316 0.155 0.350  -0.11
O 0.543 0.676 0.266  -0.13
H 0.805 0.280 0.449  0.00
H 0.695 0.280 0.949  0.00
H 0.197 0.174 0.549  0.00
H 0.616 0.829 0.347  0.00
H 0.884 0.829 0.847  0.00
H 0.195 0.720 0.551  0.00
H 0.305 0.720 0.051  0.00
H 0.384 0.171 0.653  0.00
H 0.116 0.171 0.153  0.00
H 0.092 0.583 0.119  0.00
H 0.592 0.417 0.381  0.00
H 0.697 0.826 0.951  0.00
H 0.803 0.826 0.451  0.00
H 0.303 0.174 0.049  0.00
H 0.908 0.417 0.881  0.00
H 0.408 0.583 0.619  0.00
Ni 0.000 0.000 0.000  0.85
Ni 0.500 0.000 0.500  0.85
C 0.368 0.253 0.843  0.01
C 0.632 0.747 0.157  0.01
C 0.868 0.747 0.657  0.01
C 0.132 0.253 0.343  0.01

**VASP energy**: -118.68 eV per formula unit
**Magnetization**: 0.0 μB/cell